# 1
15
Lattice="6.213 -6.221 0.000 6.213 6.221 0.000 -6.161 0.000 6.225" Properties=species:S:1:pos:R:3 comment="Tb8Bi4Te3 (PBE-GGA, relaxed)" crystal_system=monoclinic sg="C2/m, No. 12" e_form_raw_ev_per_atom=-0.94 pbc="T T T"
Tb 3.030 0.000 0.006
Tb 6.213 3.157 0.000
Tb 0.032 0.000 3.093
Tb 3.133 3.117 3.113
Tb 3.133 -3.117 3.113
Tb 6.233 0.000 3.132
Tb 6.213 -3.157 0.000
Tb 3.235 0.000 6.219
Bi -3.081 0.000 3.113
Bi 3.107 3.110 0.000
Bi 3.107 -3.110 0.000
Bi 6.213 0.000 0.000
Te 0.026 3.110 3.113
Te 0.026 -3.110 3.113
Te 3.133 0.000 3.113

---

# 2
18
Lattice="6.286 0.000 0.000 0.000 6.286 0.000 0.000 0.000 11.956" Properties=species:S:1:pos:R:3 comment="Sm2TaS6 (PBE-GGA, relaxed)" crystal_system=tetragonal sg="P4_2/mnm, No. 136" e_form_raw_ev_per_atom=-1.29 pbc="T T T"
Sm 0.000 0.000 2.045
Sm 0.000 0.000 9.911
Sm 3.143 3.143 3.933
Sm 3.143 3.143 8.023
Ta 0.000 0.000 5.978
Ta 3.143 3.143 0.000
S 1.199 1.199 4.237
S 1.199 1.199 7.719
S 1.384 1.384 0.000
S 1.759 4.527 5.978
S 1.944 4.342 1.741
S 1.944 4.342 10.214
S 4.342 1.944 1.741
S 4.342 1.944 10.214
S 4.527 1.759 5.978
S 4.902 4.902 0.000
S 5.087 5.087 4.237
S 5.087 5.087 7.719

---

# 3
12
Lattice="8.833 0.000 0.000 0.000 4.705 0.000 0.000 0.000 8.469" Properties=species:S:1:pos:R:3 comment="KHfAl (PBE-GGA, relaxed)" crystal_system=orthorhombic polymorph_energy_mev_per_atom=106 sg="Pnma, No. 62" delta_e_f_mev_per_atom=515 pbc="T T T"
K 0.010 1.176 1.154
K 4.407 3.529 5.389
K 4.426 1.176 3.080
K 8.823 3.529 7.314
Hf 0.906 3.529 3.811
Hf 3.511 1.176 8.045
Hf 5.322 3.529 0.423
Hf 7.927 1.176 4.657
Al 1.690 1.176 5.504
Al 2.726 3.529 1.270
Al 6.107 1.176 7.199
Al 7.143 3.529 2.964

---

# 4
4
Lattice="0.000 3.074 3.074 3.074 0.000 3.074 3.074 3.074 0.000" Properties=species:S:1:pos:R:3 comment="ZnRuRhW (PBE-GGA, relaxed)" crystal_system=cubic sg="F-43m, No. 216" delta_e_f_mev_per_atom=-90 pbc="T T T"
Zn 0.000 0.000 0.000
Ru 4.612 4.612 4.612
Rh 1.537 1.537 1.537
W 3.074 3.074 3.074

---

# 5
4
Lattice="0.000 3.451 3.451 3.451 0.000 3.451 3.451 3.451 0.000" Properties=species:S:1:pos:R:3 comment="Zr2SiSn (PBE-GGA, relaxed)" crystal_system=cubic polymorph_energy_mev_per_atom=298 sg="Fm-3m, No. 225" e_form_raw_ev_per_atom=-0.24 pbc="T T T"
Zr 1.725 1.725 1.725
Zr 5.176 5.176 5.176
Si 0.000 0.000 0.000
Sn 3.451 3.451 3.451

---

# 6
4
Lattice="4.275 0.000 0.000 0.000 4.275 0.000 0.000 0.000 3.388" Properties=species:S:1:pos:R:3 comment="ZnSnRh2 (PBE-GGA, relaxed)" crystal_system=tetragonal sg="P4/mmm, No. 123" delta_e_f_mev_per_atom=-460 pbc="T T T"
Zn 0.000 0.000 0.000
Sn 2.137 2.137 0.000
Rh 0.000 2.137 1.694
Rh 2.137 0.000 1.694

---

# 7
12
Lattice="4.402 0.000 0.000 -2.201 3.812 0.000 0.000 0.000 7.301" Properties=species:S:1:pos:R:3 comment="ScBe8Os3 (PBE-GGA, relaxed)" crystal_system=trigonal sg="P3m1, No. 156" delta_e_f_mev_per_atom=-350 pbc="T T T"
Sc 0.000 0.000 0.000
Be 0.000 1.266 4.915
Be -1.104 3.179 4.915
Be 0.000 2.541 3.174
Be 0.000 2.541 6.766
Be 2.201 0.024 1.442
Be 1.122 1.894 1.442
Be 1.104 3.179 4.915
Be 3.280 1.894 1.442
Os 0.000 0.000 2.705
Os 2.201 1.271 3.665
Os 2.201 1.271 6.294

---

# 8
18
Lattice="7.261 0.000 0.000 0.000 7.261 0.000 0.000 0.000 6.602" Properties=species:S:1:pos:R:3 comment="KAc2PbO5 (PBE-GGA, relaxed)" crystal_system=tetragonal sg="P4/mbm, No. 127" e_form_raw_ev_per_atom=-2.18 pbc="T T T"
K 0.000 0.000 0.000
K 3.630 3.630 0.000
Ac 1.302 2.329 3.301
Ac 2.329 5.959 3.301
Ac 4.932 1.302 3.301
Ac 5.959 4.932 3.301
Pb 0.000 3.630 0.000
Pb 3.630 0.000 0.000
O 0.000 0.000 3.301
O 1.032 4.663 1.719
O 1.032 4.663 4.883
O 2.598 1.032 1.719
O 2.598 1.032 4.883
O 3.630 3.630 3.301
O 4.663 6.229 1.719
O 4.663 6.229 4.883
O 6.229 2.598 1.719
O 6.229 2.598 4.883